DFT (GGA-PBE) results for an optimized crystal structure of CeTlIn2Br6.

Calculated values
Formation energy (no corrections) in eV/atom: -1.171
DOS(E_F) in states/eV per atom: 0.2919
Total magnetic moment in μB/f.u.: 1.000

a b c (Å): 8.2205 8.2205 21.2530
angles (deg): 90.00 90.00 120.00
Last column: nearest neighbours and their distance in Å.
Space group R3 (No. 146, hexagonal axes)
Symmetry-distinct sites (fractional):
Ce: 0.0000 0.0000 0.0000 x3  6 Br 2.92-2.95
Tl: 0.0000 0.0000 0.5084 x3  6 Br 3.31-3.43
In: 0.0000 0.0000 0.3056 x3  6 Br 3.31-3.35
In: 0.0000 0.0000 0.7983 x3  6 Br 3.30-3.41
Br: 0.0087 0.3883 0.7373 x9  1 Ce 2.92
Br: 0.0610 0.6748 0.5779 x9  1 Ce 2.95, 1 In 3.30, 1 Tl 3.31